# 1
ZrNb3Cd | PBE | optimized geometry

Calculated values
- Formation energy from the elements: 1744 meV per atom
- Calculated total energy: -6.190 eV per atom

The structure in POSCAR format:
```
ZrNb3Cd
1.0
4.9939 0.0000 0.0000
0.0000 4.9939 0.0000
0.0000 0.0000 4.9939
Zr Nb Cd
1 3 1
direct
0.0000 0.0000 0.0000 Zr
0.0000 0.5000 0.5000 Nb
0.5000 0.0000 0.5000 Nb
0.5000 0.5000 0.0000 Nb
0.5000 0.5000 0.5000 Cd
```

=====

# 2
LaTb3Tm5 | PBE | optimized geometry

Calculated values
- Formation energy from the elements: 511 meV per atom
- Calculated total energy: -4.064 eV per atom

The structure in POSCAR format:
```
LaTb3Tm5
1.0
7.5677 -5.6393 0.0000
7.5677 5.6393 0.0000
-6.4522 0.0000 7.5671
La Tb Tm
2 6 10
direct
0.2471 0.2471 0.4070 La
0.7529 0.7529 0.5930 La
0.0000 0.0000 0.0000 Tb
0.0198 0.0198 0.3626 Tb
0.4914 0.4914 0.1893 Tb
0.5000 0.5000 0.5000 Tb
0.5086 0.5086 0.8107 Tb
0.9802 0.9802 0.6374 Tb
0.1023 0.6041 0.2466 Tm
0.2254 0.2254 0.0416 Tm
0.2617 0.7383 0.0000 Tm
0.2799 0.2799 0.7768 Tm
0.3959 0.8977 0.7534 Tm
0.6041 0.1023 0.2466 Tm
0.7201 0.7201 0.2232 Tm
0.7383 0.2617 0.0000 Tm
0.7746 0.7746 0.9584 Tm
0.8977 0.3959 0.7534 Tm
```

=====

# 3
Sc5Se3 | PBE | optimized geometry

Calculated values
- Raw formation energy: -1126 meV per atom
- Calculated total energy: -6.390 eV per atom

The structure in POSCAR format:
```
Sc5Se3
1.0
10.5609 0.0000 0.0000
0.0000 8.2083 0.0000
0.0000 0.0000 7.2699
Sc Se
20 12
direct
0.0030 0.2500 0.0231 Sc
0.0682 0.0590 0.6827 Sc
0.0682 0.4410 0.6827 Sc
0.2020 0.7500 0.3472 Sc
0.2257 0.2500 0.3352 Sc
0.2743 0.7500 0.8352 Sc
0.2980 0.2500 0.8472 Sc
0.4318 0.5589 0.1827 Sc
0.4318 0.9410 0.1827 Sc
0.4970 0.7500 0.5231 Sc
0.5030 0.2500 0.4769 Sc
0.5682 0.0590 0.8173 Sc
0.5682 0.4410 0.8173 Sc
0.7020 0.7500 0.1528 Sc
0.7257 0.2500 0.1648 Sc
0.7743 0.7500 0.6648 Sc
0.7980 0.2500 0.6528 Sc
0.9318 0.5589 0.3173 Sc
0.9318 0.9410 0.3173 Sc
0.9970 0.7500 0.9769 Sc
0.0225 0.7500 0.6041 Se
0.1738 0.5084 0.0664 Se
0.1738 0.9916 0.0664 Se
0.3262 0.0084 0.5664 Se
0.3262 0.4916 0.5664 Se
0.4775 0.2500 0.1041 Se
0.5225 0.7500 0.8959 Se
0.6738 0.5084 0.4336 Se
0.6738 0.9916 0.4336 Se
0.8262 0.0084 0.9336 Se
0.8262 0.4916 0.9336 Se
0.9775 0.2500 0.3959 Se
```

=====

# 4
LiTi2AsC | PBE | optimized geometry

Calculated values
- Formation energy from the elements: 21 meV per atom
- Calculated total energy: -6.295 eV per atom

The structure in POSCAR format:
```
LiTi2AsC
1.0
4.1029 0.0000 0.0000
0.0000 4.1029 0.0000
0.0000 0.0000 4.6422
Li Ti As C
1 2 1 1
direct
0.0000 0.0000 0.0000 Li
0.0000 0.5000 0.5000 Ti
0.5000 0.0000 0.5000 Ti
0.5000 0.5000 0.0000 As
0.5000 0.5000 0.5000 C
```

=====

# 5
SrTmSc4S8 | PBE | optimized geometry

Calculated values
- Raw formation energy: -1866 meV per atom
- Calculated total energy: -6.473 eV per atom

The structure in POSCAR format:
```
SrTmSc4S8
1.0
3.8955 2.2490 6.4866
-3.8955 2.2490 6.4866
0.0000 -4.4981 6.4866
Sr Tm Sc S
1 1 4 8
direct
0.0000 0.0000 0.0000 Sr
0.6303 0.6303 0.6303 Tm
0.1237 0.6302 0.6302 Sc
0.2548 0.2548 0.2548 Sc
0.6302 0.1237 0.6302 Sc
0.6302 0.6302 0.1237 Sc
0.3822 0.3822 0.8606 S
0.3822 0.8606 0.3822 S
0.3857 0.3857 0.3857 S
0.4273 0.8681 0.8681 S
0.8598 0.8598 0.8598 S
0.8606 0.3822 0.3822 S
0.8681 0.4273 0.8681 S
0.8681 0.8681 0.4273 S
```

=====

# 6
ScFeMo2 | PBE | optimized geometry

Calculated values
- Formation energy from the elements: 178 meV per atom
- Calculated total energy: -8.936 eV per atom

The structure in POSCAR format:
```
ScFeMo2
1.0
2.7617 0.0000 0.0000
0.0000 4.5533 0.0000
-1.0043 0.0000 4.9832
Sc Fe Mo
1 1 2
direct
0.0000 0.0000 0.0000 Sc
0.5000 0.0000 0.5000 Fe
0.2732 0.5000 0.7472 Mo
0.7268 0.5000 0.2528 Mo
```

=====

# 7
PmDy8Er3 | PBE | optimized geometry

Calculated values
- Formation energy from the elements: 662 meV per atom
- Calculated total energy: -3.943 eV per atom

The structure in POSCAR format:
```
PmDy8Er3
1.0
-4.3205 4.3205 5.6636
4.3205 -4.3205 5.6636
4.3205 4.3205 -5.6636
Pm Dy Er
1 8 3
direct
0.0000 0.0000 0.0000 Pm
0.1274 0.1274 0.7475 Dy
0.2457 0.7368 0.0000 Dy
0.2632 0.2632 0.5088 Dy
0.3800 0.3800 0.2525 Dy
0.6200 0.8726 0.0000 Dy
0.7368 0.2457 0.0000 Dy
0.7543 0.7543 0.4912 Dy
0.8726 0.6200 0.0000 Dy
0.2500 0.7500 0.5000 Er
0.5000 0.5000 0.0000 Er
0.7500 0.2500 0.5000 Er
```

=====

# 8
MnInAsSe2 | PBE | optimized geometry

Calculated values
- Raw formation energy: 101 meV per atom
- Calculated total energy: -4.604 eV per atom

The structure in POSCAR format:
```
MnInAsSe2
1.0
4.9103 0.0000 0.0000
0.0000 4.9103 0.0000
0.0000 0.0000 4.5400
Mn In As Se
1 1 1 2
direct
0.0000 0.0000 0.0000 Mn
0.5000 0.5000 0.5000 In
0.0000 0.0000 0.5000 As
0.0000 0.5000 0.0000 Se
0.5000 0.0000 0.0000 Se
```